Crystalline CsCrHgO4 at its relaxed geometry. Source: Alexandria via LeMat-Bulk, functional PBE+U. Values from VASP.

```
&SYSTEM
  ibrav = 0, nat = 14, ntyp = 4
/
ATOMIC_SPECIES
Cs 132.91 Cs.upf
Cr 52.00 Cr.upf
Hg 200.59 Hg.upf
O 16.00 O.upf
ATOMIC_POSITIONS angstrom
Cs 1.376 1.478 0.922
Cs 3.428 4.433 7.124
Cr 1.585 1.478 5.512
Cr 3.219 4.433 2.533
Hg 0.028 4.433 4.404
Hg 4.776 1.478 3.642
O 1.092 1.478 3.915
O 1.543 4.433 2.408
O 0.955 0.112 6.254
O 0.955 2.843 6.254
O 3.849 3.068 1.791
O 3.849 5.798 1.791
O 3.261 1.478 5.638
O 3.712 4.433 4.131
CELL_PARAMETERS angstrom
6.155 0.000 0.000
0.000 5.911 0.000
-1.351 0.000 8.046
```

Calculated values
Crystal system: monoclinic
DOS at the Fermi energy, states/eV/atom: 0.1413
Density, kg/m3: 5100
Total DFT energy (no corrections), eV/cell: -73.299